First-principles (PBE) data for a relaxed structure of Li2MgPb, as listed in the Alexandria database.

Structure (POSCAR):
```
Li2MgPb
1.0
1.819 -2.688 0.000
1.819 2.688 0.000
0.000 0.000 9.737
Li Mg Pb
2 1 1
direct
0.000 0.000 0.000
0.500 0.500 0.246
0.000 0.000 0.483
0.500 0.500 0.754
```

## Properties
The space group is Cmm2 (35). For the density of states at the Fermi level, the calculation gives 0.343 states/eV/atom. The calculation puts the final energy at -9.3 eV/cell.